# 1
VASP calculation (PBEsol) on a relaxed structure of TlP.

Summary:
Spin magnetization (μB/f.u.): 0.00
DOS at the Fermi energy (states/eV per atom): 0.4034
DFT formation energy (eV/atom): 0.576

Unit cell a=4.7037 b=4.7037 c=7.7808 alpha=90.00 beta=90.00 gamma=90.00
Element x y z (fractional)
Tl 0.0000 0.2500 0.3750
Tl 0.0000 0.7500 0.6250
Tl 0.5000 0.2500 0.1250
Tl 0.5000 0.7500 0.8750
P 0.0000 0.2500 0.8750
P 0.0000 0.7500 0.1250
P 0.5000 0.2500 0.6250
P 0.5000 0.7500 0.3750

---

# 2
VASP calculation (PBEsol) on a relaxed structure of TiCuPb3.

Summary:
Spin magnetization (μB/f.u.): 2.15
DOS at the Fermi energy (states/eV per atom): 1.5805
DFT formation energy (eV/atom): 0.682

Unit cell a=5.1151 b=5.1151 c=5.1151 alpha=90.00 beta=90.00 gamma=90.00
Element x y z (fractional)
Ti 0.0000 0.0000 0.0000
Cu 0.5000 0.5000 0.5000
Pb 0.0000 0.5000 0.5000
Pb 0.5000 0.0000 0.5000
Pb 0.5000 0.5000 0.0000

---

# 3
VASP calculation (PBEsol) on a relaxed structure of CaCrBiO5.

Summary:
Polymorph energy (0 for the lowest one) (eV/atom): 0.013
Spin magnetization (μB/f.u.): 1.00
DOS at the Fermi energy (states/eV per atom): 0.4526
ΔE_f (raw) (meV/atom): -2019

Unit cell a=5.6991 b=11.6276 c=8.0931 alpha=90.00 beta=109.79 gamma=90.00
Element x y z (fractional)
Ca 0.0490 0.0892 0.1887
Ca 0.0490 0.4108 0.6887
Ca 0.9510 0.5892 0.3113
Ca 0.9510 0.9108 0.8113
Cr 0.3266 0.6438 0.0252
Cr 0.3266 0.8562 0.5252
Cr 0.6734 0.1438 0.4748
Cr 0.6734 0.3562 0.9748
Bi 0.4633 0.0984 0.8344
Bi 0.4633 0.4016 0.3344
Bi 0.5367 0.5984 0.6656
Bi 0.5367 0.9016 0.1656
O 0.1921 0.7237 0.5057
O 0.1921 0.7763 0.0057
O 0.2471 0.5594 0.1706
O 0.2471 0.9406 0.6706
O 0.2602 0.5771 0.8283
O 0.2602 0.9229 0.3283
O 0.2701 0.0252 0.0122
O 0.2701 0.4748 0.5122
O 0.3703 0.1824 0.3965
O 0.3703 0.3176 0.8965
O 0.6297 0.6824 0.1035
O 0.6297 0.8176 0.6035
O 0.7299 0.5252 0.4878
O 0.7299 0.9748 0.9878
O 0.7398 0.0771 0.6717
O 0.7398 0.4229 0.1717
O 0.7529 0.0594 0.3294
O 0.7529 0.4406 0.8294
O 0.8079 0.2237 0.9943
O 0.8079 0.2763 0.4943